Entry from Alexandria: an optimized crystal structure of DyYN2 (GGA-PBE).

abc: 3.4191 3.4191 17.7518
angles: 90.00 90.00 120.00
Sites, in units of the cell vectors:
1 Dy 0.0000 0.0000 0.0000
2 Dy 0.3333 0.6667 0.6667
3 Dy 0.6667 0.3333 0.3333
4 Y 0.0000 0.0000 0.8294
5 Y 0.3333 0.6667 0.4960
6 Y 0.6667 0.3333 0.1627
7 N 0.0000 0.0000 0.4127
8 N 0.0000 0.0000 0.5828
9 N 0.3333 0.6667 0.0794
10 N 0.3333 0.6667 0.2495
11 N 0.6667 0.3333 0.7461
12 N 0.6667 0.3333 0.9162

Crystal system: trigonal

---

Entry from Alexandria: an optimized crystal structure of CsCd2NiBi (GGA-PBE).

abc: 6.3346 6.3346 4.8504
angles: 90.00 90.00 90.00
Sites, in units of the cell vectors:
1 Cs 0.0000 0.0000 0.0000
2 Cd 0.0000 0.5000 0.0000
3 Cd 0.5000 0.0000 0.0000
4 Ni 0.0000 0.0000 0.5000
5 Bi 0.5000 0.5000 0.5000

Distance to the lowest polymorph of the same formula in meV per atom: 1249.2
E_form in eV/atom: 1.273
Crystal system: tetragonal

---

Entry from Alexandria: an optimized crystal structure of Nd4Er5Th (GGA-PBE).

abc: 12.9146 12.9146 7.1195
angles: 97.79 97.79 16.05
Sites, in units of the cell vectors:
1 Nd 0.0976 0.0976 0.2998
2 Nd 0.3000 0.3000 0.8991
3 Nd 0.7000 0.7000 0.1009
4 Nd 0.9024 0.9024 0.7002
5 Er 0.0970 0.0970 0.8016
6 Er 0.2997 0.2997 0.3983
7 Er 0.5000 0.5000 0.5000
8 Er 0.7003 0.7003 0.6017
9 Er 0.9030 0.9030 0.1984
10 Th 0.5000 0.5000 0.0000

Distance to the lowest polymorph of the same formula in meV per atom: 9.7
E_form in eV/atom: 0.024
Crystal system: monoclinic

---

Computed magnetic moment (μB/atom) in order:
0.00, 0.00, 0.00
Computed electronic total energy (eV per atom) in order:
-8.3806, -1.1961, -4.9061